Record 1
The following is a DFT calculation (PBE) of an optimized crystal structure of FePH12C4Cl4.

Cell: 7.6855 7.6855 12.5476 Å, 90.00 90.00 120.00°
Positions (direct):
Fe  0.0000  0.0000  0.0000
Fe  0.0000  0.0000  0.5000
P  0.3333  0.6667  0.2436
P  0.6667  0.3333  0.7436
H  0.0030  0.3844  0.2615
H  0.0030  0.6185  0.2615
H  0.0804  0.5402  0.3787
H  0.2553  0.5106  0.0723
H  0.2553  0.7447  0.0723
H  0.3815  0.3844  0.2615
H  0.3815  0.9970  0.2615
H  0.3844  0.0030  0.7615
H  0.3844  0.3815  0.7615
H  0.4598  0.5402  0.3787
H  0.4598  0.9196  0.3787
H  0.4894  0.7447  0.0723
H  0.5106  0.2553  0.5723
H  0.5402  0.0804  0.8787
H  0.5402  0.4598  0.8787
H  0.6156  0.6185  0.2615
H  0.6156  0.9970  0.2615
H  0.6185  0.0030  0.7615
H  0.6185  0.6156  0.7615
H  0.7447  0.2553  0.5723
H  0.7447  0.4894  0.5723
H  0.9196  0.4598  0.8787
H  0.9970  0.3815  0.7615
H  0.9970  0.6156  0.7615
C  0.0794  0.5397  0.2911
C  0.3333  0.6667  0.1008
C  0.4603  0.5397  0.2911
C  0.4603  0.9206  0.2911
C  0.5397  0.0794  0.7911
C  0.5397  0.4603  0.7911
C  0.6667  0.3333  0.6008
C  0.9206  0.4603  0.7911
Cl  0.0000  0.0000  0.3243
Cl  0.0000  0.0000  0.8243
Cl  0.1569  0.3138  0.5566
Cl  0.1569  0.8431  0.5566
Cl  0.3138  0.1569  0.0566
Cl  0.6862  0.8431  0.5566
Cl  0.8431  0.1569  0.0566
Cl  0.8431  0.6862  0.0566

## Properties
Total DFT energy (no corrections) (eV/atom): -4.902
Space-group type: No. 186

***

Record 2
The following is a DFT calculation (PBE) of an optimized crystal structure of Gd10C4Cl17.

Cell: 8.5584 9.2654 11.5997 Å, 104.98 95.79 109.80°
Positions (direct):
Gd  0.0101  0.2181  0.1577
Gd  0.0881  0.6294  0.3612
Gd  0.1546  0.4889  0.9380
Gd  0.2860  0.8992  0.1914
Gd  0.4164  0.5729  0.2280
Gd  0.5836  0.4271  0.7720
Gd  0.7140  0.1008  0.8086
Gd  0.8454  0.5111  0.0620
Gd  0.9119  0.3706  0.6388
Gd  0.9899  0.7819  0.8423
C  0.1006  0.4693  0.1545
C  0.1692  0.6352  0.1601
C  0.8308  0.3648  0.8399
C  0.8994  0.5307  0.8455
Cl  0.0343  0.6845  0.6116
Cl  0.0497  0.1301  0.9107
Cl  0.1985  0.9534  0.4067
Cl  0.2402  0.4113  0.7099
Cl  0.3103  0.8201  0.9442
Cl  0.3368  0.2420  0.2145
Cl  0.3944  0.6488  0.4586
Cl  0.4109  0.1088  0.7489
Cl  0.5000  0.5000  0.0000
Cl  0.5891  0.8912  0.2511
Cl  0.6056  0.3512  0.5414
Cl  0.6632  0.7580  0.7855
Cl  0.6897  0.1799  0.0558
Cl  0.7598  0.5887  0.2901
Cl  0.8015  0.0466  0.5933
Cl  0.9503  0.8699  0.0893
Cl  0.9657  0.3155  0.3884

## Properties
Total DFT energy (no corrections) (eV/atom): -5.556
Space-group type: No. 2

***

Record 3
The following is a DFT calculation (PBE) of an optimized crystal structure of GdHfCCl2.

Cell: 3.5243 3.5243 9.6264 Å, 90.00 90.00 120.00°
Positions (direct):
Gd  0.0000  0.0000  0.0000
Hf  0.3333  0.6667  0.7304
C  0.6667  0.3333  0.8409
Cl  0.0000  0.0000  0.5499
Cl  0.3333  0.6667  0.1936

## Properties
Total DFT energy (no corrections) (eV/atom): -6.967
Space-group type: No. 156